A geometry-optimized TaPtO2F structure, computed with PBE.

Structure (CIF):
```
data_TaPtO2F
_space_group_name_H-M_alt 'P 4/m m m'
_space_group_IT_number 123
_space_group_name_Hall '-P 4 2'
_cell_length_a 4.054
_cell_length_b 4.054
_cell_length_c 4.200
_cell_angle_alpha 90.00
_cell_angle_beta 90.00
_cell_angle_gamma 90.00
loop_
_atom_site_label
_atom_site_type_symbol
_atom_site_fract_x
_atom_site_fract_y
_atom_site_fract_z
Ta1 Ta 0.000 0.000 0.000
Pt1 Pt 0.500 0.500 0.500
O1 O 0.000 0.500 0.500
F1 F 0.500 0.500 0.000
```

## Properties
- D(E_F) (states/eV per atom) = 1.009
- ΔE_f (raw) (eV per atom) = 0.316
- E (eV per cell) = -28.100

A geometry-optimized TaPtO2F structure, computed with PBE.

Structure (CIF):
```
data_TaPtO2F
_space_group_name_H-M_alt 'P 4/m m m'
_space_group_IT_number 123
_space_group_name_Hall '-P 4 2'
_cell_length_a 3.971
_cell_length_b 3.971
_cell_length_c 4.154
_cell_angle_alpha 90.00
_cell_angle_beta 90.00
_cell_angle_gamma 90.00
loop_
_atom_site_label
_atom_site_type_symbol
_atom_site_fract_x
_atom_site_fract_y
_atom_site_fract_z
Ta1 Ta 0.000 0.000 0.000
Pt1 Pt 0.500 0.500 0.500
O1 O 0.000 0.500 0.000
F1 F 0.000 0.000 0.500
```

## Properties
- D(E_F) (states/eV per atom) = 0.872
- ΔE_f (raw) (eV per atom) = -1.332
- E (eV per cell) = -36.342

A geometry-optimized TaPtOF2 structure, computed with PBE.

Structure (CIF):
```
data_TaPtOF2
_space_group_name_H-M_alt 'P 4/m m m'
_space_group_IT_number 123
_space_group_name_Hall '-P 4 2'
_cell_length_a 4.318
_cell_length_b 4.318
_cell_length_c 4.038
_cell_angle_alpha 90.00
_cell_angle_beta 90.00
_cell_angle_gamma 90.00
loop_
_atom_site_label
_atom_site_type_symbol
_atom_site_fract_x
_atom_site_fract_y
_atom_site_fract_z
Ta1 Ta 0.000 0.000 0.000
Pt1 Pt 0.500 0.500 0.500
O1 O 0.500 0.500 0.000
F1 F 0.000 0.500 0.500
```

## Properties
- energy above the most stable polymorph in this dataset (kJ per mole of atoms) = 149.0
- D(E_F) (states/eV per atom) = 1.467
- ΔE_f (raw) (eV per atom) = 0.294
- E (eV per cell) = -25.122

A geometry-optimized TcPtOF2 structure, computed with PBE.

Structure (CIF):
```
data_TcPtOF2
_space_group_name_H-M_alt 'P 4/m m m'
_space_group_IT_number 123
_space_group_name_Hall '-P 4 2'
_cell_length_a 4.235
_cell_length_b 4.235
_cell_length_c 3.757
_cell_angle_alpha 90.00
_cell_angle_beta 90.00
_cell_angle_gamma 90.00
loop_
_atom_site_label
_atom_site_type_symbol
_atom_site_fract_x
_atom_site_fract_y
_atom_site_fract_z
Tc1 Tc 0.000 0.000 0.000
Pt1 Pt 0.500 0.500 0.500
O1 O 0.000 0.000 0.500
F1 F 0.000 0.500 0.000
```

## Properties
- energy above the most stable polymorph in this dataset (kJ per mole of atoms) = 0.0
- D(E_F) (states/eV per atom) = 1.411
- ΔE_f (raw) (eV per atom) = -0.395
- E (eV per cell) = -27.084

A geometry-optimized TcPt2OF structure, computed with PBE.

Structure (CIF):
```
data_TcPt2OF
_space_group_name_H-M_alt 'P 4/m m m'
_space_group_IT_number 123
_space_group_name_Hall '-P 4 2'
_cell_length_a 4.332
_cell_length_b 4.332
_cell_length_c 3.927
_cell_angle_alpha 90.00
_cell_angle_beta 90.00
_cell_angle_gamma 90.00
loop_
_atom_site_label
_atom_site_type_symbol
_atom_site_fract_x
_atom_site_fract_y
_atom_site_fract_z
Tc1 Tc 0.000 0.000 0.000
Pt1 Pt 0.000 0.500 0.500
O1 O 0.000 0.000 0.500
F1 F 0.500 0.500 0.000
```

## Properties
- D(E_F) (states/eV per atom) = 0.886
- ΔE_f (raw) (eV per atom) = 0.524
- E (eV per cell) = -26.659

A geometry-optimized TcPtO2F structure, computed with PBE.

Structure (CIF):
```
data_TcPtO2F
_space_group_name_H-M_alt 'P 4/m m m'
_space_group_IT_number 123
_space_group_name_Hall '-P 4 2'
_cell_length_a 4.022
_cell_length_b 4.022
_cell_length_c 4.300
_cell_angle_alpha 90.00
_cell_angle_beta 90.00
_cell_angle_gamma 90.00
loop_
_atom_site_label
_atom_site_type_symbol
_atom_site_fract_x
_atom_site_fract_y
_atom_site_fract_z
Tc1 Tc 0.000 0.000 0.000
Pt1 Pt 0.500 0.500 0.500
O1 O 0.000 0.500 0.500
F1 F 0.500 0.500 0.000
```

## Properties
- D(E_F) (states/eV per atom) = 0.882
- ΔE_f (raw) (eV per atom) = 0.230
- E (eV per cell) = -27.046

A geometry-optimized TcPtOF2 structure, computed with PBE.

Structure (CIF):
```
data_TcPtOF2
_space_group_name_H-M_alt 'P 4/m m m'
_space_group_IT_number 123
_space_group_name_Hall '-P 4 2'
_cell_length_a 4.515
_cell_length_b 4.515
_cell_length_c 3.811
_cell_angle_alpha 90.00
_cell_angle_beta 90.00
_cell_angle_gamma 90.00
loop_
_atom_site_label
_atom_site_type_symbol
_atom_site_fract_x
_atom_site_fract_y
_atom_site_fract_z
Tc1 Tc 0.000 0.000 0.000
Pt1 Pt 0.500 0.500 0.500
O1 O 0.500 0.500 0.000
F1 F 0.000 0.500 0.500
```

## Properties
- energy above the most stable polymorph in this dataset (kJ per mole of atoms) = 45.3
- D(E_F) (states/eV per atom) = 0.807
- ΔE_f (raw) (eV per atom) = 0.075
- E (eV per cell) = -24.735

A geometry-optimized TcPtO2F structure, computed with PBE.

Structure (CIF):
```
data_TcPtO2F
_space_group_name_H-M_alt 'P 4/m m m'
_space_group_IT_number 123
_space_group_name_Hall '-P 4 2'
_cell_length_a 3.811
_cell_length_b 3.811
_cell_length_c 4.392
_cell_angle_alpha 90.00
_cell_angle_beta 90.00
_cell_angle_gamma 90.00
loop_
_atom_site_label
_atom_site_type_symbol
_atom_site_fract_x
_atom_site_fract_y
_atom_site_fract_z
Tc1 Tc 0.000 0.000 0.000
Pt1 Pt 0.500 0.500 0.500
O1 O 0.000 0.500 0.000
F1 F 0.000 0.000 0.500
```

## Properties
- D(E_F) (states/eV per atom) = 1.256
- ΔE_f (raw) (eV per atom) = -0.356
- E (eV per cell) = -29.977

A geometry-optimized TePtOF2 structure, computed with PBE.

Structure (CIF):
```
data_TePtOF2
_space_group_name_H-M_alt 'P 4/m m m'
_space_group_IT_number 123
_space_group_name_Hall '-P 4 2'
_cell_length_a 4.739
_cell_length_b 4.739
_cell_length_c 3.720
_cell_angle_alpha 90.00
_cell_angle_beta 90.00
_cell_angle_gamma 90.00
loop_
_atom_site_label
_atom_site_type_symbol
_atom_site_fract_x
_atom_site_fract_y
_atom_site_fract_z
Te1 Te 0.000 0.000 0.000
Pt1 Pt 0.500 0.500 0.500
O1 O 0.500 0.500 0.000
F1 F 0.000 0.500 0.500
```

## Properties
- energy above the most stable polymorph in this dataset (kJ per mole of atoms) = 0.0
- D(E_F) (states/eV per atom) = 0.798
- ΔE_f (raw) (eV per atom) = -0.252
- E (eV per cell) = -19.143

A geometry-optimized Te2PtOF structure, computed with PBE.

Structure (CIF):
```
data_Te2PtOF
_space_group_name_H-M_alt 'P 4/m m m'
_space_group_IT_number 123
_space_group_name_Hall '-P 4 2'
_cell_length_a 4.839
_cell_length_b 4.839
_cell_length_c 3.742
_cell_angle_alpha 90.00
_cell_angle_beta 90.00
_cell_angle_gamma 90.00
loop_
_atom_site_label
_atom_site_type_symbol
_atom_site_fract_x
_atom_site_fract_y
_atom_site_fract_z
Te1 Te 0.000 0.500 0.000
Pt1 Pt 0.000 0.000 0.500
O1 O 0.500 0.500 0.500
F1 F 0.500 0.500 0.000
```

## Properties
- D(E_F) (states/eV per atom) = 0.646
- ΔE_f (raw) (eV per atom) = 0.462
- E (eV per cell) = -16.842

A geometry-optimized TePtOF2 structure, computed with PBE.

Structure (CIF):
```
data_TePtOF2
_space_group_name_H-M_alt 'P 4/m m m'
_space_group_IT_number 123
_space_group_name_Hall '-P 4 2'
_cell_length_a 4.449
_cell_length_b 4.449
_cell_length_c 4.119
_cell_angle_alpha 90.00
_cell_angle_beta 90.00
_cell_angle_gamma 90.00
loop_
_atom_site_label
_atom_site_type_symbol
_atom_site_fract_x
_atom_site_fract_y
_atom_site_fract_z
Te1 Te 0.000 0.000 0.000
Pt1 Pt 0.500 0.500 0.500
O1 O 0.000 0.000 0.500
F1 F 0.000 0.500 0.000
```

## Properties
- energy above the most stable polymorph in this dataset (kJ per mole of atoms) = 0.9
- D(E_F) (states/eV per atom) = 0.669
- ΔE_f (raw) (eV per atom) = -0.243
- E (eV per cell) = -19.097

A geometry-optimized TlPtO2F structure, computed with PBE.

Structure (CIF):
```
data_TlPtO2F
_space_group_name_H-M_alt 'P 4/m m m'
_space_group_IT_number 123
_space_group_name_Hall '-P 4 2'
_cell_length_a 4.316
_cell_length_b 4.316
_cell_length_c 4.312
_cell_angle_alpha 90.00
_cell_angle_beta 90.00
_cell_angle_gamma 90.00
loop_
_atom_site_label
_atom_site_type_symbol
_atom_site_fract_x
_atom_site_fract_y
_atom_site_fract_z
Tl1 Tl 0.000 0.000 0.000
Pt1 Pt 0.500 0.500 0.500
O1 O 0.000 0.500 0.000
F1 F 0.000 0.000 0.500
```

## Properties
- D(E_F) (states/eV per atom) = 0.868
- ΔE_f (raw) (eV per atom) = 0.318
- E (eV per cell) = -18.606

Which of these has the highest E? Te2PtOF

Copy entry 1 word for word.
A geometry-optimized TaPtO2F structure, computed with PBE.

Structure (CIF):
```
data_TaPtO2F
_space_group_name_H-M_alt 'P 4/m m m'
_space_group_IT_number 123
_space_group_name_Hall '-P 4 2'
_cell_length_a 4.054
_cell_length_b 4.054
_cell_length_c 4.200
_cell_angle_alpha 90.00
_cell_angle_beta 90.00
_cell_angle_gamma 90.00
loop_
_atom_site_label
_atom_site_type_symbol
_atom_site_fract_x
_atom_site_fract_y
_atom_site_fract_z
Ta1 Ta 0.000 0.000 0.000
Pt1 Pt 0.500 0.500 0.500
O1 O 0.000 0.500 0.500
F1 F 0.500 0.500 0.000
```

## Properties
- D(E_F) (states/eV per atom) = 1.009
- ΔE_f (raw) (eV per atom) = 0.316
- E (eV per cell) = -28.100

Which formula does entry 2 have? TaPtO2F